Pm2Ge3AsPt4 | PBE | relaxed

Properties
uncorrected energy: -6.121 eV/atom
formation energy from the elements: -0.90 eV/atom
calculated density: 11.65 g/cm3
crystal system: tetragonal
magnetization: 0.000 μB/atom

Structure (CIF):
```
data_Pm2Ge3AsPt4
_cell_length_a 4.4116
_cell_length_b 4.4116
_cell_length_c 9.9870
_cell_angle_alpha 90.00
_cell_angle_beta 90.00
_cell_angle_gamma 90.00
_symmetry_space_group_name_H-M 'P -4 m 2'
_symmetry_Int_Tables_number 115
loop_
_symmetry_equiv_pos_as_xyz
'x,y,z'
'y,-x,-z'
'-x,-y,z'
'-y,x,-z'
'-x,y,z'
'-y,-x,-z'
'x,-y,z'
'y,x,-z'
loop_
_atom_site_label
_atom_site_type_symbol
_atom_site_fract_x
_atom_site_fract_y
_atom_site_fract_z
Pm1 Pm 0.0000 0.5000 0.2486
Ge1 Ge 0.0000 0.5000 0.8712
Ge2 Ge 0.5000 0.5000 0.5000
As1 As 0.0000 0.0000 0.5000
Pt1 Pt 0.0000 0.0000 0.0000
Pt2 Pt 0.0000 0.5000 0.6256
Pt3 Pt 0.5000 0.5000 0.0000
```

TeAsPt3 | PBE | relaxed

Properties
uncorrected energy: -4.209 eV/atom
calculated density: 10.75 g/cm3
crystal system: cubic
magnetization: 0.000 μB/atom

Structure (CIF):
```
data_TeAsPt3
_cell_length_a 4.9549
_cell_length_b 4.9549
_cell_length_c 4.9549
_cell_angle_alpha 90.00
_cell_angle_beta 90.00
_cell_angle_gamma 90.00
_symmetry_space_group_name_H-M 'P m -3 m'
_symmetry_Int_Tables_number 221
_symmetry_space_group_name_Hall '-P 4 2 3'
loop_
_atom_site_label
_atom_site_type_symbol
_atom_site_fract_x
_atom_site_fract_y
_atom_site_fract_z
Te1 Te 0.0000 0.0000 0.0000
As1 As 0.5000 0.5000 0.5000
Pt1 Pt 0.0000 0.0000 0.5000
```

Al2TcBr | PBE | relaxed

Properties
uncorrected energy: -4.639 eV/atom
calculated density: 5.74 g/cm3
crystal system: orthorhombic
magnetization: 0.108 μB/atom

Structure (CIF):
```
data_Al2TcBr
_cell_length_a 5.9735
_cell_length_b 7.5438
_cell_length_c 2.9779
_cell_angle_alpha 90.00
_cell_angle_beta 90.00
_cell_angle_gamma 90.00
_symmetry_space_group_name_H-M 'C m m m'
_symmetry_Int_Tables_number 65
_symmetry_space_group_name_Hall '-C 2 2'
loop_
_atom_site_label
_atom_site_type_symbol
_atom_site_fract_x
_atom_site_fract_y
_atom_site_fract_z
Al1 Al 0.2500 0.2500 0.0000
Tc1 Tc 0.0000 0.0000 0.5000
Br1 Br 0.0000 0.5000 0.5000
```

BeInCu2 | PBE | relaxed

Properties
uncorrected energy: -3.493 eV/atom
formation energy from the elements: 0.17 eV/atom
calculated density: 7.63 g/cm3
crystal system: monoclinic
magnetization: 0.000 μB/atom

Structure (CIF):
```
data_BeInCu2
_cell_length_a 9.0437
_cell_length_b 3.2265
_cell_length_c 4.1618
_cell_angle_alpha 90.00
_cell_angle_beta 115.85
_cell_angle_gamma 90.00
_symmetry_space_group_name_H-M 'C 1 m 1'
_symmetry_Int_Tables_number 8
loop_
_symmetry_equiv_pos_as_xyz
'x,y,z'
'x,-y,z'
'x+1/2,y+1/2,z'
'x+1/2,-y+1/2,z'
loop_
_atom_site_label
_atom_site_type_symbol
_atom_site_fract_x
_atom_site_fract_y
_atom_site_fract_z
Be1 Be 0.0000 0.0000 0.0000
In1 In 0.2387 0.0000 0.7280
Cu1 Cu 0.2087 0.5000 0.1987
Cu2 Cu 0.4680 0.0000 0.4512
```

CeThScCo2 | PBE | relaxed

Properties
uncorrected energy: -6.954 eV/atom
formation energy from the elements: -0.17 eV/atom
calculated density: 8.00 g/cm3
crystal system: monoclinic
magnetization: 0.000 μB/atom

Structure (CIF):
```
data_CeThScCo2
_cell_length_a 11.8573
_cell_length_b 4.3517
_cell_length_c 8.7366
_cell_angle_alpha 90.00
_cell_angle_beta 99.67
_cell_angle_gamma 90.00
_symmetry_space_group_name_H-M 'C 1 2/m 1'
_symmetry_Int_Tables_number 12
loop_
_symmetry_equiv_pos_as_xyz
'x,y,z'
'-x,-y,-z'
'-x,y,-z'
'x,-y,z'
'x+1/2,y+1/2,z'
'-x+1/2,-y+1/2,-z'
'-x+1/2,y+1/2,-z'
'x+1/2,-y+1/2,z'
loop_
_atom_site_label
_atom_site_type_symbol
_atom_site_fract_x
_atom_site_fract_y
_atom_site_fract_z
Ce1 Ce 0.0484 0.0000 0.2378
Th1 Th 0.1536 0.5000 0.5975
Sc1 Sc 0.1516 0.5000 0.9954
Co1 Co 0.1465 0.0000 0.8266
Co2 Co 0.1914 0.5000 0.3110
```

LaScP2 | PBE | relaxed

Properties
uncorrected energy: -6.504 eV/atom
formation energy from the elements: -0.98 eV/atom
calculated density: 4.70 g/cm3
crystal system: orthorhombic
magnetization: 0.000 μB/atom

Structure (CIF):
```
data_LaScP2
_cell_length_a 3.6261
_cell_length_b 4.4371
_cell_length_c 5.4004
_cell_angle_alpha 90.00
_cell_angle_beta 90.00
_cell_angle_gamma 90.00
_symmetry_space_group_name_H-M 'P m m m'
_symmetry_Int_Tables_number 47
loop_
_symmetry_equiv_pos_as_xyz
'x,y,z'
'-x,-y,-z'
'-x,-y,z'
'x,y,-z'
'x,-y,-z'
'-x,y,z'
'-x,y,-z'
'x,-y,z'
loop_
_atom_site_label
_atom_site_type_symbol
_atom_site_fract_x
_atom_site_fract_y
_atom_site_fract_z
La1 La 0.0000 0.0000 0.0000
Sc1 Sc 0.0000 0.5000 0.5000
P1 P 0.5000 0.0000 0.5000
P2 P 0.5000 0.5000 0.0000
```

DyPuSc2O8 | PBE | relaxed

Properties
uncorrected energy: -8.982 eV/atom
calculated density: 6.35 g/cm3
crystal system: orthorhombic
magnetization: 0.083 μB/atom

Structure (CIF):
```
data_DyPuSc2O8
_cell_length_a 6.9381
_cell_length_b 6.9554
_cell_length_c 6.7655
_cell_angle_alpha 90.00
_cell_angle_beta 90.00
_cell_angle_gamma 90.00
_symmetry_space_group_name_H-M 'C m m m'
_symmetry_Int_Tables_number 65
_symmetry_space_group_name_Hall '-C 2 2'
loop_
_atom_site_label
_atom_site_type_symbol
_atom_site_fract_x
_atom_site_fract_y
_atom_site_fract_z
Dy1 Dy 0.0000 0.0000 0.0000
Pu1 Pu 0.0000 0.0000 0.5000
Sc1 Sc 0.0000 0.5000 0.2317
O1 O 0.0000 0.2855 0.5000
O2 O 0.0000 0.3172 0.0000
O3 O 0.1949 0.0000 0.2742
```

KIn3Ga3 | PBE | relaxed

Properties
uncorrected energy: -2.544 eV/atom
formation energy from the elements: 0.08 eV/atom
calculated density: 4.24 g/cm3
crystal system: cubic
magnetization: 0.000 μB/atom

Structure (CIF):
```
data_KIn3Ga3
_cell_length_a 7.7424
_cell_length_b 7.7424
_cell_length_c 7.7424
_cell_angle_alpha 90.00
_cell_angle_beta 90.00
_cell_angle_gamma 90.00
_symmetry_space_group_name_H-M 'P m -3 n'
_symmetry_Int_Tables_number 223
_symmetry_space_group_name_Hall '-P 4n 2 3'
loop_
_atom_site_label
_atom_site_type_symbol
_atom_site_fract_x
_atom_site_fract_y
_atom_site_fract_z
K1 K 0.0000 0.0000 0.0000
In1 In 0.0000 0.2500 0.5000
Ga1 Ga 0.0000 0.5000 0.2500
```